Here is a relaxed structure of LiNi2Os from Alexandria. Energies are from PBE.

abc: 2.5436 4.2080 4.4785
angles: 90.00 90.00 90.00
Last column: nearest neighbours and their distance in Å.
Space group Pmm2 (No. 25)
Inequivalent atoms, fractional coordinates:
Li  0.0000  0.0000  0.0000 x1  8 Ni 2.52-2.62, 2 Li 2.54, 2 Os 2.67
Ni  0.5000  0.0000  0.5125 x1  4 Li 2.53-2.62, 4 Os 2.54, 4 Ni 2.54-2.65
Ni  0.5000  0.5000  0.8735 x1  4 Li 2.52, 4 Ni 2.54-2.65, 4 Os 2.56-2.59
Os  0.0000  0.5000  0.3685 x1  8 Ni 2.54-2.59, 2 Os 2.54, 2 Li 2.67

Summary:
Polymorph energy (0 for the lowest one), eV per atom: 0.000
Magnetic moment, μB/f.u.: 0.0
Volume, Å³/cell: 47.9
DFT formation energy, eV per atom: 0.014

=====

Here is a relaxed structure of LiNi4Os from Alexandria. Energies are from PBE.

abc: 6.6159 6.6159 6.6159
angles: 90.00 90.00 90.00
Last column: nearest neighbours and their distance in Å.
Space group F-43m (No. 216)
Inequivalent atoms, fractional coordinates:
Li  0.0000  0.0000  0.0000 x4  12 Ni 2.74, 4 Os 2.86
Ni  0.1252  0.1252  0.6252 x16  6 Ni 2.33-2.34
Os  0.2500  0.2500  0.2500 x4  12 Ni 2.74, 4 Li 2.86

Summary:
Magnetic moment, μB/f.u.: 4.5
Volume, Å³/cell: 289.6
DFT formation energy, eV per atom: 0.205

=====

Here is a relaxed structure of LiNiOs2 from Alexandria. Energies are from PBE.

abc: 2.9087 2.9087 5.7567
angles: 90.00 90.00 90.00
Last column: nearest neighbours and their distance in Å.
Space group P4/mmm (No. 123)
Inequivalent atoms, fractional coordinates:
Li  0.0000  0.0000  0.0000 x1  8 Os 2.47
Ni  0.0000  0.0000  0.5000 x1  8 Os 2.55
Os  0.5000  0.5000  0.2390 x2  4 Li 2.47, 4 Ni 2.55, 1 Os 2.75

Summary:
Polymorph energy (0 for the lowest one), eV per atom: 0.351
Magnetic moment, μB/f.u.: 0.0
Volume, Å³/cell: 48.7
DFT formation energy, eV per atom: 0.464

=====

Here is a relaxed structure of LiNiOs2 from Alexandria. Energies are from PBE.

abc: 3.6396 3.6396 7.7495
angles: 90.00 90.00 90.00
Last column: nearest neighbours and their distance in Å.
Space group I4/mmm (No. 139)
Inequivalent atoms, fractional coordinates:
Li  0.0000  0.0000  0.0000 x2  4 Ni 2.57, 8 Os 2.66
Ni  0.0000  0.0000  0.5000 x2  4 Li 2.57, 8 Os 2.66
Os  0.0000  0.5000  0.2500 x4  4 Os 2.57, 4 Li 2.66, 4 Ni 2.66

Summary:
Polymorph energy (0 for the lowest one), eV per atom: 0.220
Magnetic moment, μB/f.u.: 0.0
Volume, Å³/cell: 102.7
DFT formation energy, eV per atom: 0.334

=====

Here is a relaxed structure of LiNi2Os from Alexandria. Energies are from PBE.

abc: 2.6931 4.1911 8.1949
angles: 90.00 90.00 90.00
Last column: nearest neighbours and their distance in Å.
Space group Immm (No. 71)
Inequivalent atoms, fractional coordinates:
Li  0.0000  0.0000  0.0000 x2  4 Ni 2.39, 4 Os 2.49
Ni  0.0000  0.5000  0.2586 x4  2 Li 2.39, 4 Ni 2.49, 2 Os 2.51
Os  0.0000  0.0000  0.5000 x2  4 Li 2.49, 4 Ni 2.51, 2 Os 2.69

Summary:
Polymorph energy (0 for the lowest one), eV per atom: 0.246
Magnetic moment, μB/f.u.: 0.3
Volume, Å³/cell: 92.5
DFT formation energy, eV per atom: 0.260

=====

Here is a relaxed structure of LiNiOs2 from Alexandria. Energies are from PBE.

abc: 2.6503 2.6503 26.5895
angles: 90.00 90.00 120.00
Last column: nearest neighbours and their distance in Å.
Space group R-3m (No. 166, hexagonal axes)
Inequivalent atoms, fractional coordinates:
Li  0.0000  0.0000  0.0000 x3  6 Li 2.65, 6 Os 2.79
Ni  0.0000  0.0000  0.5000 x3  6 Os 2.60, 6 Ni 2.65
Os  0.0000  0.0000  0.2456 x6  3 Ni 2.60, 6 Os 2.65, 3 Li 2.79

Summary:
Polymorph energy (0 for the lowest one), eV per atom: 0.095
Magnetic moment, μB/f.u.: 0.3
Volume, Å³/cell: 161.7
DFT formation energy, eV per atom: 0.209

=====

Here is a relaxed structure of LiNi6Os from Alexandria. Energies are from PBE.

abc: 7.1423 10.0920 10.0954
angles: 90.00 90.00 90.00
Last column: nearest neighbours and their distance in Å.
Space group Cmmm (No. 65)
Inequivalent atoms, fractional coordinates:
Li  0.0000  0.0000  0.2481 x4  12 Ni 2.50-2.55
Li  0.0000  0.2538  0.0000 x4  12 Ni 2.48-2.56
Ni  0.0000  0.0000  0.0000 x2  4 Li 2.50-2.56, 8 Ni 2.51
Ni  0.0000  0.0000  0.5000 x2  2 Os 2.47, 2 Li 2.54, 8 Ni 2.55
Ni  0.0000  0.2515  0.2514 x8  8 Ni 2.49-2.54, 2 Os 2.51, 2 Li 2.54
Ni  0.0000  0.5000  0.0000 x2  2 Os 2.43, 2 Li 2.48, 8 Ni 2.53
Ni  0.0000  0.5000  0.5000 x2  8 Ni 2.51, 4 Os 2.58-2.62
Ni  0.2469  0.3744  0.3744 x16  8 Ni 2.49-2.55, 3 Os 2.51-2.56, 1 Li 2.55
Ni  0.2487  0.1248  0.1247 x16  1 Os 2.48, 3 Li 2.51-2.54, 8 Ni 2.51-2.54
Os  0.0000  0.2443  0.5000 x4  12 Ni 2.47-2.58
Os  0.0000  0.5000  0.2403 x4  12 Ni 2.43-2.62

Summary:
Magnetic moment, μB/f.u.: 1.3
Volume, Å³/cell: 727.7
DFT formation energy, eV per atom: 0.048

=====

Here is a relaxed structure of LiNiOs2 from Alexandria. Energies are from PBE.

abc: 2.7214 4.3925 4.4332
angles: 90.00 90.00 90.00
Last column: nearest neighbours and their distance in Å.
Space group Pmmm (No. 47)
Inequivalent atoms, fractional coordinates:
Li  0.0000  0.0000  0.0000 x1  4 Os 2.58, 4 Ni 2.60, 2 Li 2.72
Ni  0.5000  0.0000  0.5000 x1  4 Os 2.58, 4 Li 2.60, 2 Ni 2.72
Os  0.0000  0.5000  0.5000 x1  4 Ni 2.58, 6 Os 2.60-2.72
Os  0.5000  0.5000  0.0000 x1  4 Li 2.58, 6 Os 2.60-2.72

Summary:
Polymorph energy (0 for the lowest one), eV per atom: 0.187
Magnetic moment, μB/f.u.: 0.6
Volume, Å³/cell: 53.0
DFT formation energy, eV per atom: 0.301

=====

Here is a relaxed structure of LiNiOs2 from Alexandria. Energies are from PBE.

abc: 5.8160 5.8160 5.8160
angles: 90.00 90.00 90.00
Last column: nearest neighbours and their distance in Å.
Space group Fm-3m (No. 225)
Inequivalent atoms, fractional coordinates:
Li  0.0000  0.0000  0.0000 x4  8 Os 2.52
Ni  0.0000  0.0000  0.5000 x4  8 Os 2.52
Os  0.2500  0.2500  0.2500 x8  4 Li 2.52, 4 Ni 2.52

Summary:
Polymorph energy (0 for the lowest one), eV per atom: 0.343
Magnetic moment, μB/f.u.: 0.0
Volume, Å³/cell: 196.7
DFT formation energy, eV per atom: 0.457

=====

Here is a relaxed structure of LiNi2Os from Alexandria. Energies are from PBE.

abc: 2.5814 4.2324 9.1666
angles: 90.00 90.00 90.00
Last column: nearest neighbours and their distance in Å.
Space group Imm2 (No. 44)
Inequivalent atoms, fractional coordinates:
Li  0.0000  0.0000  0.0000 x2  6 Ni 2.48-2.77, 2 Li 2.58
Ni  0.0000  0.0000  0.4911 x2  4 Ni 2.42-2.58, 2 Os 2.43, 4 Li 2.48
Ni  0.0000  0.5000  0.7675 x2  4 Ni 2.42-2.58, 4 Os 2.52
Os  0.0000  0.5000  0.2159 x2  6 Ni 2.43-2.52, 2 Os 2.58

Summary:
Polymorph energy (0 for the lowest one), eV per atom: 0.126
Magnetic moment, μB/f.u.: 0.0
Volume, Å³/cell: 100.1
DFT formation energy, eV per atom: 0.140

=====

Here is a relaxed structure of LiNi2Os from Alexandria. Energies are from PBE.

abc: 2.6964 4.3937 8.5975
angles: 90.00 90.00 90.00
Last column: nearest neighbours and their distance in Å.
Space group Cmmm (No. 65)
Inequivalent atoms, fractional coordinates:
Li  0.0000  0.0000  0.0000 x2  4 Ni 2.53, 6 Li 2.58-2.70
Ni  0.0000  0.5000  0.2496 x4  2 Li 2.53, 2 Os 2.54, 6 Ni 2.58-2.70
Os  0.0000  0.0000  0.5000 x2  4 Ni 2.54, 6 Os 2.58-2.70

Summary:
Polymorph energy (0 for the lowest one), eV per atom: 0.220
Magnetic moment, μB/f.u.: 0.0
Volume, Å³/cell: 101.9
DFT formation energy, eV per atom: 0.234

=====

Here is a relaxed structure of LiNiOs2 from Alexandria. Energies are from PBE.

abc: 3.8229 3.8229 6.9631
angles: 90.00 90.00 90.00
Last column: nearest neighbours and their distance in Å.
Space group I-4m2 (No. 119)
Inequivalent atoms, fractional coordinates:
Li  0.0000  0.0000  0.0000 x2  8 Os 2.59-2.70, 4 Ni 2.59
Ni  0.0000  0.5000  0.7500 x2  4 Li 2.59, 8 Os 2.59-2.70
Os  0.0000  0.0000  0.5000 x2  4 Os 2.59, 4 Ni 2.59, 4 Li 2.70
Os  0.0000  0.5000  0.2500 x2  4 Li 2.59, 4 Os 2.59, 4 Ni 2.70

Summary:
Polymorph energy (0 for the lowest one), eV per atom: 0.057
Magnetic moment, μB/f.u.: 0.0
Volume, Å³/cell: 101.8
DFT formation energy, eV per atom: 0.171

=====

Here is a relaxed structure of LiNi2Os from Alexandria. Energies are from PBE.

abc: 5.7748 5.7748 5.7748
angles: 90.00 90.00 90.00
Last column: nearest neighbours and their distance in Å.
Space group Fm-3m (No. 225)
Inequivalent atoms, fractional coordinates:
Li  0.0000  0.0000  0.0000 x4  8 Ni 2.50
Ni  0.2500  0.2500  0.2500 x8  4 Li 2.50, 4 Os 2.50
Os  0.0000  0.0000  0.5000 x4  8 Ni 2.50

Summary:
Polymorph energy (0 for the lowest one), eV per atom: 0.233
Magnetic moment, μB/f.u.: 0.8
Volume, Å³/cell: 192.6
DFT formation energy, eV per atom: 0.246

=====

Here is a relaxed structure of LiNiOs2 from Alexandria. Energies are from PBE.

abc: 2.7585 4.4967 8.8765
angles: 90.00 90.00 90.00
Last column: nearest neighbours and their distance in Å.
Space group Cmm2 (No. 35)
Inequivalent atoms, fractional coordinates:
Li  0.0000  0.0000  0.0000 x2  2 Ni 2.53, 6 Li 2.64-2.76, 2 Os 2.71
Ni  0.0000  0.5000  0.2396 x2  2 Li 2.53, 2 Os 2.54, 6 Ni 2.64-2.76
Os  0.0000  0.0000  0.4803 x2  2 Ni 2.54, 8 Os 2.64-2.76
Os  0.0000  0.5000  0.7368 x2  8 Os 2.64-2.76, 2 Li 2.71

Summary:
Polymorph energy (0 for the lowest one), eV per atom: 0.266
Magnetic moment, μB/f.u.: 0.0
Volume, Å³/cell: 110.1
DFT formation energy, eV per atom: 0.380

=====

Here is a relaxed structure of LiNi2Os from Alexandria. Energies are from PBE.

abc: 2.6270 2.6270 25.4590
angles: 90.00 90.00 120.00
Last column: nearest neighbours and their distance in Å.
Space group R-3m (No. 166, hexagonal axes)
Inequivalent atoms, fractional coordinates:
Li  0.0000  0.0000  0.0000 x3  6 Li 2.63, 6 Ni 2.63
Ni  0.0000  0.0000  0.2490 x6  3 Os 2.59, 6 Ni 2.63, 3 Li 2.63
Os  0.0000  0.0000  0.5000 x3  6 Ni 2.59, 6 Os 2.63

Summary:
Polymorph energy (0 for the lowest one), eV per atom: 0.120
Magnetic moment, μB/f.u.: 0.0
Volume, Å³/cell: 152.2
DFT formation energy, eV per atom: 0.134

=====

Here is a relaxed structure of Li3NiOs from Alexandria. Energies are from PBE.

abc: 4.0581 4.0581 4.0581
angles: 90.00 90.00 90.00
Last column: nearest neighbours and their distance in Å.
Space group Pm-3m (No. 221)
Inequivalent atoms, fractional coordinates:
Li  0.0000  0.0000  0.5000 x3  2 Ni 2.03
Ni  0.0000  0.0000  0.0000 x1  6 Li 2.03
Os  0.5000  0.5000  0.5000 x1  12 Li 2.87

Summary:
Polymorph energy (0 for the lowest one), eV per atom: 0.000
Magnetic moment, μB/f.u.: 0.0
Volume, Å³/cell: 66.8
DFT formation energy, eV per atom: 1.139

=====

Here is a relaxed structure of LiNi2Os from Alexandria. Energies are from PBE.

abc: 8.4581 2.5058 4.5924
angles: 90.00 96.38 90.00
Last column: nearest neighbours and their distance in Å.
Space group C2/m (No. 12)
Inequivalent atoms, fractional coordinates:
Li  0.0000  0.0000  0.0000 x2  6 Ni 2.50-2.66, 2 Li 2.51, 4 Os 2.62
Ni  0.2450  0.0000  0.7408 x4  3 Li 2.50-2.66, 6 Ni 2.51-2.68, 3 Os 2.53-2.56
Os  0.0000  0.5000  0.5000 x2  2 Os 2.51, 6 Ni 2.53-2.56, 4 Li 2.62

Summary:
Polymorph energy (0 for the lowest one), eV per atom: 0.150
Magnetic moment, μB/f.u.: 0.0
Volume, Å³/cell: 96.7
DFT formation energy, eV per atom: 0.164

=====

Here is a relaxed structure of LiNi2Os from Alexandria. Energies are from PBE.

abc: 2.6964 4.3691 8.5980
angles: 90.00 90.00 90.00
Last column: nearest neighbours and their distance in Å.
Space group Cmm2 (No. 35)
Inequivalent atoms, fractional coordinates:
Li  0.0000  0.0000  0.0000 x2  2 Ni 2.51, 6 Li 2.57-2.70, 2 Os 2.68
Ni  0.0000  0.0000  0.4808 x2  8 Ni 2.42-2.70, 2 Os 2.53
Ni  0.0000  0.5000  0.2466 x2  8 Ni 2.42-2.70, 2 Li 2.51
Os  0.0000  0.5000  0.7303 x2  2 Ni 2.53, 6 Os 2.57-2.70, 2 Li 2.68

Summary:
Polymorph energy (0 for the lowest one), eV per atom: 0.207
Magnetic moment, μB/f.u.: 1.1
Volume, Å³/cell: 101.3
DFT formation energy, eV per atom: 0.221

=====

Here is a relaxed structure of LiNi2Os from Alexandria. Energies are from PBE.

abc: 2.5926 4.2892 4.2905
angles: 90.00 90.00 90.00
Last column: nearest neighbours and their distance in Å.
Space group Pmmm (No. 47)
Inequivalent atoms, fractional coordinates:
Li  0.0000  0.0000  0.0000 x1  4 Os 2.51, 4 Ni 2.51, 2 Li 2.59
Ni  0.0000  0.5000  0.5000 x1  6 Ni 2.51-2.59, 4 Os 2.51
Ni  0.5000  0.0000  0.5000 x1  6 Ni 2.51-2.59, 4 Li 2.51
Os  0.5000  0.5000  0.0000 x1  4 Li 2.51, 4 Ni 2.51, 2 Os 2.59

Summary:
Polymorph energy (0 for the lowest one), eV per atom: 0.269
Magnetic moment, μB/f.u.: 1.0
Volume, Å³/cell: 47.7
DFT formation energy, eV per atom: 0.282

=====

Here is a relaxed structure of LiNiOs2 from Alexandria. Energies are from PBE.

abc: 2.7611 2.7611 6.7121
angles: 90.00 90.00 90.00
Last column: nearest neighbours and their distance in Å.
Space group P4mm (No. 99)
Inequivalent atoms, fractional coordinates:
Li  0.0000  0.0000  0.0000 x1  4 Ni 2.43, 4 Os 2.64
Ni  0.5000  0.5000  0.2150 x1  4 Li 2.43, 4 Os 2.62
Os  0.0000  0.0000  0.4760 x1  8 Os 2.62-2.76, 4 Ni 2.62
Os  0.5000  0.5000  0.7362 x1  8 Os 2.62-2.76, 4 Li 2.64

Summary:
Polymorph energy (0 for the lowest one), eV per atom: 0.102
Magnetic moment, μB/f.u.: 0.0
Volume, Å³/cell: 51.2
DFT formation energy, eV per atom: 0.216

=====

Table of uncorrected energy (eV/atom), in record order: -6.16 -5.84 -7.07 -7.20 -5.92 -7.33 -5.93 -7.24 -7.08 -6.04 -5.94 -7.37 -5.93 -7.16 -6.04 -3.41 -6.01 -5.96 -5.89 -7.32